Entry 1:
8
Lattice="-3.272 4.337 1.237 -3.005 -3.236 3.398 3.364 1.328 4.239" Properties=species:S:1:pos:R:3 comment="LiMg3, PBEsol geometry, DFT SCAN" crystal_system=cubic spacegroup=Pm-3n final_energy_ev_per_fu=-17.19 rho_g_cm3=1.5 dos_at_fermi_per_ev_fu=1.7 pbc="T T T"
Mg -2.320 -0.534 2.008
Mg -0.795 2.501 1.678
Mg 0.931 -0.145 2.969
Mg -0.572 -1.763 4.668
Mg 0.887 3.165 3.798
Mg -3.956 1.635 2.627
Li -1.456 1.215 4.437
Li 0.000 0.000 0.000



Entry 2:
4
Lattice="-1.862 4.339 0.707 -4.727 0.634 -0.219 -2.472 0.917 3.980" Properties=species:S:1:pos:R:3 comment="HfNb2Tl, PBEsol geometry, DFT SCAN" crystal_system=cubic spacegroup=Fm-3m final_energy_ev_per_fu=-200.14 rho_g_cm3=12.3 dos_at_fermi_per_ev_fu=5.2 pbc="T T T"
Nb -2.265 1.472 1.117
Nb -6.796 4.417 3.351
Hf 0.000 0.000 0.000
Tl -4.531 2.945 2.234



Entry 3:
5
Lattice="-0.788 3.831 -0.595 -4.542 0.130 -6.305 -6.480 1.343 4.075" Properties=species:S:1:pos:R:3 comment="Ba4Pt, PBEsol geometry, DFT SCAN" crystal_system=tetragonal spacegroup=I4/m final_energy_ev_per_fu=-230.16 rho_g_cm3=5.5 dos_at_fermi_per_ev_fu=5.0 pbc="T T T"
Ba -5.822 3.101 1.376
Ba -9.066 4.024 -1.541
Ba -5.986 2.202 -4.201
Ba -2.743 1.279 -1.284
Pt 0.000 0.000 0.000



Entry 4:
4
Lattice="-0.922 -1.406 -2.219 4.535 -0.755 -1.406 -1.700 -2.920 4.303" Properties=species:S:1:pos:R:3 comment="ZnRe2Br, PBEsol geometry, DFT SCAN" crystal_system=orthorhombic spacegroup=Immm e_above_lowest_polymorph_ev_per_fu=2.77 e_form_raw_ev_per_atom=1.11 rho_g_cm3=13.6 dos_at_fermi_per_ev_fu=3.3 pbc="T T T"
Br 2.267 -0.377 -0.703
Zn -0.461 -0.703 -1.110
Re 0.054 -2.010 1.251
Re 1.859 -3.071 -0.574



Entry 5:
5
Lattice="-3.191 5.180 -0.889 -4.119 -3.135 -3.481 -3.386 -1.211 5.097" Properties=species:S:1:pos:R:3 comment="KAgTeI2, PBEsol geometry, DFT SCAN" crystal_system=tetragonal spacegroup=P4/mmm e_form_raw_ev_per_atom=0.38 rho_g_cm3=3.7 dos_at_fermi_per_ev_fu=3.4 pbc="T T T"
Ag -5.348 0.417 0.364
K 0.000 0.000 0.000
I -1.693 -0.605 2.549
I -2.060 -1.567 -1.740
Te -1.595 2.590 -0.444



Entry 6:
3
Lattice="2.625 0.000 0.000 0.000 4.238 0.000 0.000 -2.119 3.670" Properties=species:S:1:pos:R:3 comment="NiPtW, PBEsol geometry, DFT SCAN" crystal_system=hexagonal spacegroup=P-6m2 e_above_lowest_polymorph_ev_per_fu=0.29 rho_g_cm3=17.8 dos_at_fermi_per_ev_fu=2.5 pbc="T T T"
W 1.312 2.119 1.223
Ni 0.000 0.000 0.000
Pt 0.000 0.000 2.447



Entry 7:
4
Lattice="-2.031 -0.627 1.616 -2.269 -1.451 -3.415 3.956 -3.230 1.514" Properties=species:S:1:pos:R:3 comment="CoAgRu2, PBEsol geometry, DFT SCAN" crystal_system=orthorhombic spacegroup=Immm final_energy_ev_per_fu=-116.46 rho_g_cm3=11.3 dos_at_fermi_per_ev_fu=3.6 pbc="T T T"
Ag -1.134 -0.726 -1.708
Ru 0.783 -1.851 0.266
Ru -1.127 -3.457 -0.552
Co -1.016 -0.314 0.808



Entry 8:
5
Lattice="4.063 0.000 0.000 0.000 4.063 0.000 -2.032 -2.032 6.006" Properties=species:S:1:pos:R:3 comment="RbBe2Co2, PBEsol geometry, DFT SCAN" crystal_system=tetragonal spacegroup=I4/mmm final_energy_ev_per_fu=-61.21 rho_g_cm3=3.7 dos_at_fermi_per_ev_fu=1.9 pbc="T T T"
Co 2.032 2.032 2.861
Co 0.000 0.000 3.146
Rb 0.000 0.000 0.000
Be 2.032 0.000 3.003
Be 0.000 2.032 3.003



Entry 9:
4
Lattice="-3.956 -0.703 2.026 -0.133 -1.029 4.378 -1.788 6.711 3.835" Properties=species:S:1:pos:R:3 comment="Ba2IrAu, PBEsol geometry, DFT SCAN" crystal_system=trigonal spacegroup=R-3m final_energy_ev_per_fu=-220.43 rho_g_cm3=8.4 dos_at_fermi_per_ev_fu=5.8 pbc="T T T"
Ba -1.482 1.466 2.611
Ba -4.395 3.513 7.628
Au 0.000 0.000 0.000
Ir -2.938 2.489 5.120



Entry 10:
9
Lattice="-1.167 0.189 3.528 4.198 -4.095 1.608 1.335 5.932 0.123" Properties=species:S:1:pos:R:3 comment="TiCoGe, PBEsol geometry, DFT SCAN" crystal_system=hexagonal spacegroup=P-62m final_energy_ev_per_fu=-54.28 rho_g_cm3=7.5 dos_at_fermi_per_ev_fu=1.8 pbc="T T T"
Co 1.013 -0.989 0.388
Co 4.197 1.393 1.313
Co 0.322 1.432 0.030
Ti 1.801 -2.231 2.677
Ti 1.807 0.888 2.512
Ti 0.175 3.464 1.834
Ge -0.583 0.095 1.764
Ge 3.244 -0.753 1.113
Ge 2.289 2.589 0.618



Entry 11:
6
Lattice="-5.214 -1.032 1.720 -3.492 -2.901 -3.255 -1.493 -5.189 1.433" Properties=species:S:1:pos:R:3 comment="PrDyAl4, PBEsol geometry, DFT SCAN" crystal_system=cubic spacegroup=F-43m final_energy_ev_per_fu=-125.27 rho_g_cm3=5.5 dos_at_fermi_per_ev_fu=4.9 pbc="T T T"
Al -3.826 -3.422 -0.039
Al -6.430 -3.938 0.820
Al -5.570 -4.871 -1.664
Al -4.572 -6.014 0.677
Pr 0.000 0.000 0.000
Dy -7.649 -6.842 -0.077



Entry 12:
5
Lattice="3.471 0.000 0.000 0.000 5.753 0.000 0.000 0.000 5.753" Properties=species:S:1:pos:R:3 comment="CdGaTe2N, PBEsol geometry, DFT SCAN" crystal_system=tetragonal spacegroup=P4/mmm e_form_raw_ev_per_atom=0.52 rho_g_cm3=6.5 dos_at_fermi_per_ev_fu=3.5 pbc="T T T"
N 1.736 0.000 0.000
Te 0.000 2.877 0.000
Te 0.000 0.000 2.877
Ga 0.000 0.000 0.000
Cd 1.736 2.877 2.877



Entry 13:
5
Lattice="3.454 0.000 0.000 0.000 5.558 0.000 0.000 0.000 5.558" Properties=species:S:1:pos:R:3 comment="BaSe2SN, PBEsol geometry, DFT SCAN" crystal_system=tetragonal spacegroup=P4/mmm e_form_raw_ev_per_atom=-0.01 rho_g_cm3=5.3 dos_at_fermi_per_ev_fu=2.8 pbc="T T T"
N 1.727 0.000 0.000
S 0.000 0.000 0.000
Se 0.000 2.779 0.000
Se 0.000 0.000 2.779
Ba 1.727 2.779 2.779



Entry 14:
5
Lattice="5.391 0.000 0.000 0.000 5.391 0.000 0.000 0.000 5.391" Properties=species:S:1:pos:R:3 comment="ScTaBi3, PBEsol geometry, DFT SCAN" crystal_system=cubic spacegroup=Pm-3m final_energy_ev_per_fu=-310.66 rho_g_cm3=9.0 dos_at_fermi_per_ev_fu=5.0 pbc="T T T"
Bi 2.696 0.000 0.000
Bi 0.000 2.696 0.000
Bi 0.000 0.000 2.696
Ta 2.696 2.696 2.696
Sc 0.000 0.000 0.000